Record 1
Below is a relaxed structure of TaVGa2Br, with properties calculated at the PBE level.

Structure (extended XYZ):
```
5
Lattice="4.946 0.000 0.000 0.000 4.946 0.000 0.000 0.000 4.724" Properties=species:S:1:pos:R:3 pbc="T T T"
Ta 0.000 0.000 0.000
V 2.473 2.473 0.000
Ga 0.000 2.473 2.362
Ga 2.473 0.000 2.362
Br 0.000 0.000 2.362
```

Summary:
symmetry	P4/mmm (123)
energy relative to the elements, uncorrected	1631.0	meV/atom
DOS(E_F)	1.467	states/eV/atom

Record 2
Below is a relaxed structure of Tb3GaBr3, with properties calculated at the PBE level.

Structure (extended XYZ):
```
28
Lattice="-5.865 5.865 5.865 5.865 -5.865 5.865 5.865 5.865 -5.865" Properties=species:S:1:pos:R:3 pbc="T T T"
Tb 1.583 1.466 -1.349
Tb 7.214 1.583 -1.466
Tb 1.466 -1.349 1.583
Tb 4.516 4.282 -1.466
Tb 4.282 1.466 1.349
Tb -1.349 1.583 1.466
Tb 4.282 -1.466 4.516
Tb 1.466 1.349 4.282
Tb 1.349 4.282 1.466
Tb 1.583 -1.466 7.214
Tb -1.466 7.214 1.583
Tb -1.466 4.516 4.282
Ga 4.399 1.466 -1.466
Ga 1.466 1.466 1.466
Ga 1.466 -1.466 4.399
Ga -1.466 4.399 1.466
Br 7.331 1.402 1.530
Br 7.331 -1.402 4.335
Br 4.335 7.331 -1.402
Br 4.463 1.530 4.399
Br 4.399 4.463 1.530
Br 1.530 7.331 1.402
Br 7.267 4.335 4.399
Br 1.530 4.399 4.463
Br 1.402 1.530 7.331
Br 4.399 7.267 4.335
Br -1.402 4.335 7.331
Br 4.335 4.399 7.267
```

Summary:
symmetry	I4_132 (214)
energy relative to the elements, uncorrected	-1276.6	meV/atom
DOS(E_F)	0.354	states/eV/atom

Record 3
Below is a relaxed structure of TbGaBr, with properties calculated at the PBE level.

Structure (extended XYZ):
```
6
Lattice="3.518 -2.033 0.000 3.518 2.033 0.000 -2.369 0.000 12.386" Properties=species:S:1:pos:R:3 pbc="T T T"
Tb -0.012 0.000 3.727
Tb 4.680 0.000 8.660
Ga -0.011 0.000 6.754
Ga 4.678 0.000 5.633
Br 2.335 0.000 1.933
Br 2.333 0.000 10.453
```

Summary:
symmetry	C2/m (12)
energy relative to the elements, uncorrected	-1069.3	meV/atom
DOS(E_F)	0.432	states/eV/atom

Record 4
Below is a relaxed structure of Tb7GaBr12, with properties calculated at the PBE level.

Structure (extended XYZ):
```
20
Lattice="7.440 4.296 3.294 -7.440 4.296 3.294 0.000 -8.591 3.294" Properties=species:S:1:pos:R:3 pbc="T T T"
Tb 0.000 0.000 0.000
Tb -2.169 -0.612 3.367
Tb 1.615 -1.572 3.367
Tb 0.554 2.185 3.367
Tb -0.554 -2.185 6.515
Tb -1.615 1.572 6.515
Tb 2.169 0.612 6.515
Ga 0.000 0.000 4.941
Br -0.601 -2.337 1.570
Br -1.723 1.689 1.570
Br -2.890 -2.960 4.923
Br -4.008 1.023 4.958
Br 2.324 0.648 1.570
Br 1.118 -3.983 4.958
Br -1.118 3.983 4.923
Br -2.324 -0.648 8.312
Br 4.008 -1.023 4.923
Br 2.890 2.960 4.958
Br 1.723 -1.689 8.312
Br 0.601 2.337 8.312
```

Summary:
symmetry	R-3 (148)
energy relative to the elements, uncorrected	-1566.9	meV/atom
DOS(E_F)	0.540	states/eV/atom

Record 5
Below is a relaxed structure of TbGa2Br8, with properties calculated at the PBE level.

Structure (extended XYZ):
```
11
Lattice="6.572 -5.265 0.000 6.572 5.265 0.000 -1.445 0.000 6.658" Properties=species:S:1:pos:R:3 pbc="T T T"
Tb 0.000 0.000 0.000
Ga 1.674 0.000 4.514
Ga 10.025 0.000 2.144
Br 4.979 3.401 1.422
Br 2.031 0.000 2.007
Br 6.720 3.401 5.236
Br 3.752 0.000 5.600
Br 7.947 0.000 1.058
Br 4.979 -3.401 1.422
Br 9.669 0.000 4.650
Br 6.720 -3.401 5.236
```

Summary:
symmetry	C2/m (12)
energy relative to the elements, uncorrected	-1070.8	meV/atom
DOS(E_F)	0.414	states/eV/atom

Record 6
Below is a relaxed structure of TbGaBr4, with properties calculated at the PBE level.

Structure (extended XYZ):
```
6
Lattice="6.937 -2.123 0.000 6.937 2.123 0.000 -1.389 0.000 7.784" Properties=species:S:1:pos:R:3 pbc="T T T"
Tb 0.000 0.000 0.000
Ga 6.243 0.000 3.892
Br 1.117 0.000 2.538
Br 5.184 0.000 0.827
Br 7.302 0.000 6.958
Br 11.369 0.000 5.246
```

Summary:
symmetry	C2/m (12)
energy relative to the elements, uncorrected	-1421.4	meV/atom
DOS(E_F)	0.000	states/eV/atom

Record 7
Below is a relaxed structure of TbGa2Br5, with properties calculated at the PBE level.

Structure (extended XYZ):
```
16
Lattice="7.939 -3.873 0.000 7.939 3.873 0.000 -4.564 0.000 9.685" Properties=species:S:1:pos:R:3 pbc="T T T"
Tb 7.939 3.870 0.000
Tb 5.657 -3.870 4.842
Ga 2.474 0.220 7.515
Ga 4.756 -0.220 2.673
Ga 6.563 0.224 7.006
Ga 8.845 -0.224 2.164
Br 2.125 1.131 1.437
Br 6.798 2.764 2.422
Br 4.267 1.463 5.203
Br -0.157 -1.131 6.280
Br 4.769 1.460 9.322
Br 6.549 -1.463 0.360
Br 11.473 1.139 3.407
Br 7.051 -1.460 4.480
Br 4.517 -2.764 7.265
Br 9.191 -1.139 8.249
```

Summary:
symmetry	Cc (9)
energy relative to the elements, uncorrected	-1200.2	meV/atom
DOS(E_F)	0.000	states/eV/atom

Record 8
Below is a relaxed structure of TbGa3Br6, with properties calculated at the PBE level.

Structure (extended XYZ):
```
20
Lattice="7.425 0.000 0.000 0.000 8.400 0.000 -6.927 0.000 11.000" Properties=species:S:1:pos:R:3 pbc="T T T"
Tb 0.000 0.000 0.000
Tb -3.464 4.200 5.500
Ga -3.188 0.792 8.750
Ga 0.276 3.409 3.250
Ga 0.249 0.000 5.500
Ga 3.713 4.200 0.000
Ga 0.222 4.992 7.750
Ga 3.685 7.609 2.250
Br -0.929 0.560 2.610
Br -4.392 3.640 8.110
Br 1.301 6.074 0.946
Br -2.163 6.527 6.446
Br 2.397 1.425 0.468
Br -1.067 2.775 5.968
Br 1.565 5.625 5.031
Br -1.899 6.975 10.531
Br 2.661 1.874 4.553
Br -0.803 2.327 10.053
Br 4.890 4.760 2.890
Br 1.426 7.840 8.390
```

Summary:
symmetry	P2_1/c (14)
energy relative to the elements, uncorrected	-1069.4	meV/atom
DOS(E_F)	0.000	states/eV/atom

Record 9
Below is a relaxed structure of TbGaBr, with properties calculated at the PBE level.

Structure (extended XYZ):
```
6
Lattice="3.587 -2.071 0.000 3.587 2.071 0.000 -2.474 0.000 11.429" Properties=species:S:1:pos:R:3 pbc="T T T"
Tb 0.001 0.000 2.054
Tb 4.700 0.000 9.376
Ga 2.392 0.000 0.339
Ga 2.309 0.000 11.091
Br -0.082 0.000 7.612
Br 4.783 0.000 3.818
```

Summary:
symmetry	C2/m (12)
energy relative to the elements, uncorrected	-1227.9	meV/atom
DOS(E_F)	0.286	states/eV/atom

Record 10
Below is a relaxed structure of Tb4GaBr5, with properties calculated at the PBE level.

Structure (extended XYZ):
```
10
Lattice="9.165 -2.043 0.000 9.165 2.043 0.000 -1.817 0.000 8.222" Properties=species:S:1:pos:R:3 pbc="T T T"
Tb -0.405 0.000 1.872
Tb 16.918 0.000 6.350
Tb 4.697 0.000 7.567
Tb 11.816 0.000 0.655
Ga 9.165 0.000 0.000
Br 2.460 0.000 2.714
Br 1.646 0.000 6.894
Br 8.256 0.000 4.111
Br 14.866 0.000 1.328
Br 14.053 0.000 5.508
```

Summary:
symmetry	C2/m (12)
energy relative to the elements, uncorrected	-1382.8	meV/atom
DOS(E_F)	0.432	states/eV/atom

Record 11
Below is a relaxed structure of TbTlGa2Br6, with properties calculated at the PBE level.

Structure (extended XYZ):
```
10
Lattice="7.826 0.000 0.000 3.912 6.793 0.000 3.910 2.259 7.013" Properties=species:S:1:pos:R:3 pbc="T T T"
Tb 0.000 0.000 0.000
Tl 7.826 4.526 3.730
Ga 3.910 2.259 2.984
Ga 11.736 6.784 6.655
Br 4.891 4.236 5.187
Br 6.298 6.647 1.469
Br 9.042 7.214 5.184
Br 6.758 2.136 1.472
Br 9.531 2.120 5.189
Br 10.426 4.796 1.470
```

Summary:
symmetry	P1 (1)
energy relative to the elements, uncorrected	-1141.9	meV/atom
DOS(E_F)	0.000	states/eV/atom

Record 12
Below is a relaxed structure of TbTl2GaBr6, with properties calculated at the PBE level.

Structure (extended XYZ):
```
10
Lattice="4.021 2.321 6.800 -4.021 2.321 6.800 0.000 -4.643 6.800" Properties=species:S:1:pos:R:3 pbc="T T T"
Tb 0.000 0.000 0.000
Tl 0.000 0.000 6.058
Tl 0.000 0.000 16.102
Ga 0.000 0.000 10.348
Br -0.760 -2.406 8.323
Br -2.612 -0.566 11.851
Br -1.704 1.861 8.323
Br 1.796 -1.979 11.851
Br 2.464 0.545 8.323
Br 0.816 2.545 11.851
```

Summary:
symmetry	R3 (146)
energy relative to the elements, uncorrected	-1212.6	meV/atom
DOS(E_F)	0.000	states/eV/atom